# 1
Compound: Cs5Se2Cl2
Source: the Alexandria database
Functional: PBE
Structure: relaxed

Values from the calculation:
SG: No. 64
ΔE_f (raw): -1.39 eV per atom
Electronic total energy: -3.051 eV/atom

Cell lengths 10.042, 10.042, 9.437 Å; angles 90.00, 90.00, 55.72 degrees
Fractional positions:
Cs: 0.000 0.000 0.000
Cs: 0.029 0.698 0.662
Cs: 0.198 0.529 0.162
Cs: 0.302 0.971 0.662
Cs: 0.471 0.802 0.162
Cs: 0.500 0.500 0.500
Cs: 0.529 0.198 0.838
Cs: 0.698 0.029 0.338
Cs: 0.802 0.471 0.838
Cs: 0.971 0.302 0.338
Se: 0.122 0.878 0.378
Se: 0.378 0.622 0.878
Se: 0.622 0.378 0.122
Se: 0.878 0.122 0.622
Cl: 0.200 0.200 0.000
Cl: 0.300 0.300 0.500
Cl: 0.700 0.700 0.500
Cl: 0.800 0.800 0.000

=====

# 2
Compound: Pr3Ga4Pt4
Source: the Alexandria database
Functional: PBE
Structure: relaxed

Values from the calculation:
SG: No. 71
ΔE to the lowest computed polymorph: 19.8 meV/atom
Formation energy: -0.949 eV/atom
Electronic total energy: -5.550 eV/atom

Cell lengths 13.492, 13.492, 13.492 Å; angles 162.74, 161.44, 25.45 degrees
Fractional positions:
Pr: 0.000 0.000 0.000
Pr: 0.355 0.855 0.500
Pr: 0.645 0.145 0.500
Ga: 0.194 0.694 0.500
Ga: 0.452 0.452 0.000
Ga: 0.548 0.548 0.000
Ga: 0.806 0.306 0.500
Pt: 0.098 0.598 0.500
Pt: 0.252 0.252 0.000
Pt: 0.748 0.748 0.000
Pt: 0.902 0.402 0.500